# KSi2Os

A relaxed structure of KSi2Os (GGA-PBE, Alexandria).

Computed properties:
Symmetry: Pmm2 (25)
DFT total energy: -5.561 eV per atom

The structure in POSCAR format:
```
KSi2Os
1.0
3.1538 0.0000 0.0000
0.0000 3.1929 0.0000
0.0000 0.0000 7.7874
Os Si K
1 2 1
Direct
0.5000 0.5000 0.8575
0.5000 0.5000 0.1683
0.0000 0.0000 0.9771
0.0000 0.0000 0.4970
```

---

# KSiOs2

A relaxed structure of KSiOs2 (GGA-PBE, Alexandria).

Computed properties:
Symmetry: Imm2 (44)
DFT total energy: -6.229 eV per atom

The structure in POSCAR format:
```
KSiOs2
1.0
6.0668 0.0009 0.0040
3.1095 5.2093 -0.0040
-3.7052 -4.1602 2.4022
K Os Si
1 2 1
Direct
0.2599 0.7599 0.5000
0.7438 0.2438 0.5000
0.9502 0.9502 0.0000
0.5460 0.5460 0.0000
```

---

# K2SiOs

A relaxed structure of K2SiOs (GGA-PBE, Alexandria).

Computed properties:
Symmetry: Cmmm (65)
DFT total energy: -3.668 eV per atom

The structure in POSCAR format:
```
K2SiOs
1.0
2.7539 -0.0269 0.0000
-0.1400 2.7505 0.0000
0.0000 0.0000 11.1780
Os Si K
1 1 2
Direct
0.5000 0.5000 0.2500
0.5000 0.5000 0.7500
0.0000 0.0000 0.0000
0.0000 0.0000 0.5000
```

---

# KSi2Os

A relaxed structure of KSi2Os (GGA-PBE, Alexandria).

Computed properties:
Symmetry: I4_1/amd (141)
DFT total energy: -5.762 eV per atom

The structure in POSCAR format:
```
KSi2Os
1.0
-2.8481 -2.8835 -4.4361
5.2309 -2.2910 -1.8692
0.3079 -7.8677 0.8470
Os Si K
2 4 2
Direct
0.7500 0.2500 0.5000
0.0000 0.0000 0.0000
0.8751 0.6250 0.2500
0.8750 0.1249 0.7500
0.8749 0.1250 0.2500
0.3750 0.1251 0.7500
0.5000 0.5000 0.0000
0.2500 0.7500 0.5000
```

---

# K2SiOs

A relaxed structure of K2SiOs (GGA-PBE, Alexandria).

Computed properties:
Symmetry: P4mm (99)
DFT total energy: -4.367 eV per atom

The structure in POSCAR format:
```
K2SiOs
1.0
3.2832 0.0088 0.0000
-0.0099 3.2832 0.0000
0.0000 0.0000 10.1774
Os K Si
1 2 1
Direct
0.0000 0.0000 0.5880
0.5000 0.5000 0.3357
0.0000 0.0000 0.9120
0.5000 0.5000 0.6643
```

---

# KSiOs2

A relaxed structure of KSiOs2 (GGA-PBE, Alexandria).

Computed properties:
Symmetry: I-4m2 (119)
DFT total energy: -5.944 eV per atom

The structure in POSCAR format:
```
KSiOs2
1.0
-3.0602 2.8746 -1.7024
-2.5656 -0.5211 3.6977
4.3312 1.2675 0.4003
Si Os K
1 2 1
Direct
0.5000 0.5000 0.0000
0.0000 0.0000 0.0000
0.2500 0.7500 0.5000
0.7500 0.2500 0.5000
```

---

# KSiOs2

A relaxed structure of KSiOs2 (GGA-PBE, Alexandria).

Computed properties:
Symmetry: Pmm2 (25)
DFT total energy: -6.772 eV per atom

The structure in POSCAR format:
```
KSiOs2
1.0
-1.8188 -0.1864 2.0856
2.2151 -2.7141 1.6892
3.7317 5.3698 3.7343
Os Si K
2 1 1
Direct
0.5000 0.5000 0.2359
0.0000 0.0000 0.1041
0.0000 0.0000 0.4219
0.5000 0.5000 0.7381
```

---

# KSiOs

A relaxed structure of KSiOs (GGA-PBE, Alexandria).

Computed properties:
Symmetry: P3m1 (156)
DFT total energy: -5.344 eV per atom

The structure in POSCAR format:
```
KSiOs
1.0
3.0680 0.0000 0.0000
-1.5340 2.6569 0.0000
0.0000 0.0000 7.3220
Si Os K
1 1 1
Direct
0.3333 0.6667 0.6098
0.6667 0.3333 0.3901
0.0000 0.0000 0.0001
```

---

# KSi2Os

A relaxed structure of KSi2Os (GGA-PBE, Alexandria).

Computed properties:
Symmetry: R3m (160)
DFT total energy: -5.236 eV per atom

The structure in POSCAR format:
```
KSi2Os
1.0
9.3682 -0.0116 -0.0068
8.8924 2.9477 -0.0068
8.8924 1.4298 2.5778
Si K Os
2 1 1
Direct
0.2687 0.2687 0.2687
0.0012 0.0012 0.0012
0.5004 0.5004 0.5004
0.7298 0.7298 0.7298
```

---

# KSiOs2

A relaxed structure of KSiOs2 (GGA-PBE, Alexandria).

Computed properties:
Symmetry: Cmmm (65)
DFT total energy: -6.639 eV per atom

The structure in POSCAR format:
```
KSiOs2
1.0
2.8279 0.0002 0.0000
-1.2422 2.5405 0.0000
0.0000 0.0000 9.4264
Os K Si
2 1 1
Direct
0.0000 0.0000 0.4443
0.0000 0.0000 0.0557
0.5000 0.5000 0.7500
0.5000 0.5000 0.2500
```

---

# K2SiOs

A relaxed structure of K2SiOs (GGA-PBE, Alexandria).

Computed properties:
Symmetry: P4/mmm (123)
DFT total energy: -3.642 eV per atom

The structure in POSCAR format:
```
K2SiOs
1.0
-2.1905 -1.1434 4.9764
1.5494 -3.5505 -0.1338
3.2076 1.3350 1.7186
Si K Os
1 2 1
Direct
0.5000 0.0000 0.5000
0.0000 0.5000 0.5000
0.0000 0.0000 0.0000
0.5000 0.5000 0.0000
```

---

# KSiOs3

A relaxed structure of KSiOs3 (GGA-PBE, Alexandria).

Computed properties:
Symmetry: Pm-3m (221)
DFT total energy: -6.587 eV per atom

The structure in POSCAR format:
```
KSiOs3
1.0
4.5605 0.0000 0.0000
0.0000 4.5605 0.0000
0.0000 0.0000 4.5605
Os Si K
3 1 1
Direct
0.0000 0.0000 0.5000
0.5000 0.0000 0.0000
0.0000 0.5000 0.0000
0.0000 0.0000 0.0000
0.5000 0.5000 0.5000
```

---

# KSiOs3

A relaxed structure of KSiOs3 (GGA-PBE, Alexandria).

Computed properties:
Symmetry: Pm-3m (221)
DFT total energy: -4.064 eV per atom

The structure in POSCAR format:
```
KSiOs3
1.0
-0.8302 -0.8768 -4.4257
3.0275 -3.4447 0.1146
-3.3451 -2.9000 1.2021
Os K Si
3 1 1
Direct
0.0000 0.5000 0.0000
0.5000 0.0000 0.0000
0.0000 0.0000 0.5000
0.0000 0.0000 0.0000
0.5000 0.5000 0.5000
```

---

# KSi4Os

A relaxed structure of KSi4Os (GGA-PBE, Alexandria).

Computed properties:
Symmetry: F-43m (216)
DFT total energy: -4.773 eV per atom

The structure in POSCAR format:
```
KSi4Os
1.0
0.0000 3.6850 3.6850
3.6850 0.0000 3.6850
3.6850 3.6850 0.0000
Si K Os
4 1 1
Direct
0.3723 0.3723 0.8830
0.8830 0.3723 0.3723
0.3723 0.8830 0.3723
0.3723 0.3723 0.3723
0.7500 0.7500 0.7500
0.0000 0.0000 0.0000
```

---

# K2SiOs

A relaxed structure of K2SiOs (GGA-PBE, Alexandria).

Computed properties:
Symmetry: Cm (8)
DFT total energy: -4.494 eV per atom

The structure in POSCAR format:
```
K2SiOs
1.0
4.0483 -0.0170 0.0092
2.0388 3.4974 0.0092
1.9809 1.1326 9.5823
K Os Si
2 1 1
Direct
0.7879 0.7879 0.6403
0.9621 0.9621 0.1097
0.5416 0.5416 0.3750
0.2083 0.2083 0.3750
```

---

no.,Fermi-level density of states (states/eV/f.u.)
1,2.12
2,3.53
3,2.46
4,1.54
5,2.81
6,3.54
7,2.90
8,1.40
9,2.78
10,2.90
11,2.80
12,2.74
13,9.14
14,5.94
15,2.15